Entry 1:
Entry from Alexandria: a relaxed Pr2NdHfAs4 crystal (GGA-PBE).

- SG: P2/m, No. 10
- E: -6.711 eV per atom
- D(E_F): 0.184 states/eV per atom
- Calculated formation energy: -10.8 eV/f.u.

abc: 7.2193 4.1625 7.2247
angles: 90.00 109.20 90.00
Last column: nearest neighbours and their distance in Å.
Positions (direct):
Pr: 0.0000 0.0000 0.0000  6 As 3.08
Pr: 0.5000 0.5000 0.0000  6 As 2.96
Nd: 0.0000 0.5000 0.5000  6 As 2.94-2.95
Hf: 0.5000 0.0000 0.5000  6 As 2.80-2.82
As: 0.2605 0.0000 0.7367  1 Hf 2.80, 2 Nd 2.95, 3 Pr 2.96-3.08
As: 0.2711 0.5000 0.2725  2 Hf 2.82, 1 Nd 2.94, 3 Pr 2.96-3.08
As: 0.7289 0.5000 0.7275  2 Hf 2.82, 1 Nd 2.94, 3 Pr 2.96-3.08
As: 0.7395 0.0000 0.2633  1 Hf 2.80, 2 Nd 2.95, 3 Pr 2.96-3.08

=====

Entry 2:
Entry from Alexandria: a relaxed Tb3NdDyTm crystal (GGA-PBE).

- SG: Cmcm, No. 63
- E: -4.497 eV per atom
- D(E_F): 1.826 states/eV per atom
- Calculated formation energy: 0.8 eV/f.u.

abc: 6.4942 6.4942 11.5533
angles: 90.00 90.00 127.59
Last column: nearest neighbours and their distance in Å.
Positions (direct):
Tb: 0.1354 0.8646 0.7500  2 Nd 3.13, 2 Dy 3.29, 2 Tb 3.35
Tb: 0.3249 0.6751 0.5324  3 Tb 3.35-3.44, 2 Nd 3.45-3.69, 2 Dy 3.54, 1 Tm 3.71
Tb: 0.3249 0.6751 0.9676  3 Tb 3.35-3.44, 2 Nd 3.45-3.69, 2 Dy 3.54, 1 Tm 3.71
Tb: 0.6751 0.3249 0.0324  3 Tb 3.35-3.44, 2 Nd 3.45-3.69, 2 Dy 3.54, 1 Tm 3.71
Tb: 0.6751 0.3249 0.4676  3 Tb 3.35-3.44, 2 Nd 3.45-3.69, 2 Dy 3.54, 1 Tm 3.71
Tb: 0.8646 0.1354 0.2500  2 Nd 3.13, 2 Dy 3.29, 2 Tb 3.35
Nd: 0.4727 0.5273 0.2500  4 Tb 3.13-3.45, 1 Tm 3.50
Nd: 0.5273 0.4727 0.7500  4 Tb 3.13-3.45, 1 Tm 3.50
Dy: 0.0000 0.0000 0.0000  6 Tb 3.29-3.54, 2 Tm 3.52
Dy: 0.0000 0.0000 0.5000  6 Tb 3.29-3.54, 2 Tm 3.52
Tm: 0.1728 0.8272 0.2500  3 Nd 3.50-3.70, 2 Dy 3.52, 9 Tb 3.59-3.81
Tm: 0.8272 0.1728 0.7500  3 Nd 3.50-3.70, 2 Dy 3.52, 9 Tb 3.59-3.81

=====

Entry 3:
Entry from Alexandria: a relaxed Sr3Ta crystal (GGA-PBE).

- SG: Pm-3m, No. 221
- E: -3.310 eV per atom
- D(E_F): 0.547 states/eV per atom
- Calculated formation energy: 3.7 eV/f.u.

abc: 5.3603 5.3603 5.3603
angles: 90.00 90.00 90.00
Last column: nearest neighbours and their distance in Å.
Positions (direct):
Sr: 0.0000 0.0000 0.5000  4 Ta 3.79, 8 Sr 3.79
Sr: 0.0000 0.5000 0.0000  4 Ta 3.79, 8 Sr 3.79
Sr: 0.5000 0.0000 0.0000  4 Ta 3.79, 8 Sr 3.79
Ta: 0.5000 0.5000 0.5000  12 Sr 3.79

=====

Entry 4:
Entry from Alexandria: a relaxed Er2Mg5Sc4 crystal (GGA-PBE).

- SG: Fmmm, No. 69
- E: -3.625 eV per atom
- D(E_F): 1.571 states/eV per atom
- Calculated formation energy: 2.6 eV/f.u.

abc: 11.5239 10.8591 5.7303
angles: 81.70 68.82 29.48
Last column: nearest neighbours and their distance in Å.
Positions (direct):
Er: 0.1210 0.1210 0.8790  6 Sc 3.26-3.41
Er: 0.8790 0.8790 0.1210  6 Sc 3.26-3.41
Mg: 0.0000 0.0000 0.5000  4 Mg 2.87-3.00, 4 Sc 3.14
Mg: 0.2500 0.2500 0.2500  2 Mg 3.00, 4 Sc 3.10
Mg: 0.5000 0.5000 0.0000  4 Mg 2.87-3.00, 4 Sc 3.14
Mg: 0.5000 0.5000 0.5000  4 Mg 2.87, 4 Sc 3.10
Mg: 0.7500 0.7500 0.7500  2 Mg 3.00, 4 Sc 3.10
Sc: 0.2072 0.5406 0.4594  5 Mg 3.10-3.14, 3 Sc 3.26-3.41, 3 Er 3.26-3.41
Sc: 0.4594 0.7928 0.2072  5 Mg 3.10-3.14, 3 Sc 3.26-3.41, 3 Er 3.26-3.41
Sc: 0.5406 0.2072 0.7928  5 Mg 3.10-3.14, 3 Sc 3.26-3.41, 3 Er 3.26-3.41
Sc: 0.7928 0.4594 0.5406  5 Mg 3.10-3.14, 3 Sc 3.26-3.41, 3 Er 3.26-3.41

=====

Number 1: mass density 7323 kg/m³. Number 2: mass density 8193 kg/m³. Number 3: mass density 4785 kg/m³. Number 4: mass density 3456 kg/m³.